Density functional theory data (PBE) for an optimized crystal structure of CdPd4Au.

**Energy relative to the lowest polymorph listed for this composition**: 0 meV/atom
**ΔE_f**: -193 meV per atom
**Spin magnetization**: 0.00 μB per cell
**Energy**: -4.3532 eV per atom

a = 4.0686 Å, b = 11.8803 Å, c = 4.0840 Å
α = 90.00°, β = 90.00°, γ = 90.00°
With the nearest neighbours (Å) after each atom.
Space group Cmmm (No. 65)
Inequivalent atoms, fractional coordinates:
1 Cd 0.0000 0.0000 0.0000 (multiplicity 2)  8 Pd 2.86-2.87, 4 Au 2.88
2 Pd 0.0000 0.1698 0.5000 (multiplicity 4)  8 Pd 2.79-2.88, 2 Au 2.87, 2 Cd 2.87
3 Pd 0.0000 0.3307 0.0000 (multiplicity 4)  8 Pd 2.80-2.88, 2 Cd 2.86, 2 Au 2.87
4 Au 0.0000 0.5000 0.5000 (multiplicity 2)  8 Pd 2.87, 4 Cd 2.88

***

Density functional theory data (PBE) for an optimized crystal structure of CaIn2P.

**ΔE_f**: -288 meV per atom
**Spin magnetization**: 0.00 μB per cell
**Energy**: -3.5102 eV per atom

a = 5.8724 Å, b = 11.5952 Å, c = 4.1048 Å
α = 90.00°, β = 132.97°, γ = 90.00°
With the nearest neighbours (Å) after each atom.
Space group C2/m (No. 12)
Inequivalent atoms, fractional coordinates:
1 Ca 0.0000 0.0000 0.0000 (multiplicity 2)  4 P 2.94-3.01, 4 In 3.25
2 In 0.2500 0.2500 0.0000 (multiplicity 4)  4 In 2.94-3.01, 2 Ca 3.25, 2 P 3.25
3 P 0.0000 0.5000 0.0000 (multiplicity 2)  4 Ca 2.94-3.01, 4 In 3.25

***

Density functional theory data (PBE) for an optimized crystal structure of Ni2SeBr.

**Energy relative to the lowest polymorph listed for this composition**: 74 meV/atom
**Spin magnetization**: 0.00 μB per cell
**Energy**: -4.2464 eV per atom
**Formation energy from raw total energies**: -0.27 eV/f.u.

a = 5.5840 Å, b = 5.5840 Å, c = 10.3083 Å
α = 90.00°, β = 90.00°, γ = 90.00°
With the nearest neighbours (Å) after each atom.
Space group I-42d (No. 122)
Inequivalent atoms, fractional coordinates:
1 Ni 0.2242 0.2500 0.1250 (multiplicity 8)  2 Se 2.28, 2 Br 2.45
2 Se 0.0000 0.0000 0.0000 (multiplicity 4)  4 Ni 2.28
3 Br 0.0000 0.0000 0.5000 (multiplicity 4)  4 Ni 2.45

***

Density functional theory data (PBE) for an optimized crystal structure of Pr7Dy4Mg.

**ΔE_f**: 188 meV per atom
**Spin magnetization**: 0.00 μB per cell
**Energy**: -4.2665 eV per atom

a = 11.3510 Å, b = 5.6506 Å, c = 13.2798 Å
α = 90.00°, β = 105.34°, γ = 90.00°
With the nearest neighbours (Å) after each atom.
Space group C2/m (No. 12)
Inequivalent atoms, fractional coordinates:
1 Pr 0.0000 0.0000 0.0000 (multiplicity 2)  2 Mg 2.83, 2 Pr 3.05, 2 Dy 3.14
2 Pr 0.1388 0.0000 0.4694 (multiplicity 4)  4 Dy 3.39-3.65, 4 Pr 3.46-3.77
3 Pr 0.1584 0.5000 0.2549 (multiplicity 4)  1 Mg 3.39, 4 Dy 3.49-3.61, 1 Pr 3.77
4 Pr 0.2258 0.5000 0.8963 (multiplicity 4)  1 Pr 3.05, 1 Mg 3.21
5 Dy 0.0460 0.0000 0.7769 (multiplicity 4)  3 Pr 3.14-3.49
6 Dy 0.0906 0.5000 0.6275 (multiplicity 4)  3 Dy 3.46-3.56, 7 Pr 3.49-3.83
7 Mg 0.0000 0.5000 0.0000 (multiplicity 2)  2 Pr 2.83